Density functional theory data (PBE-GGA) for a geometry-optimized CoOsPd2 structure.

Geometry as POSCAR:
```
CoOsPd2
1.0
-0.278 1.830 3.901
-1.922 3.840 0.451
-3.824 0.281 1.985
Co Os Pd
1 1 2
direct
0.250 0.250 0.250
0.500 0.500 0.500
0.000 0.000 0.000
0.750 0.750 0.750
```

Output
Symmetry: No. 216
Calculated formation energy: 0.4418 eV per atom